(1)
A plane-wave DFT calculation with PBE was carried out for an optimized crystal structure of AlSe2NO.

Results
The space group is P4/mmm. Its formation energy from raw total energies is 0.872 eV per atom.

POSCAR file:
```
AlSe2NO
1.0
4.964 0.000 0.000
0.000 4.964 0.000
0.000 0.000 3.525
Al Se N O
1 2 1 1
direct
0.000 0.000 0.000 Al
0.000 0.500 0.000 Se
0.500 0.000 0.000 Se
0.000 0.000 0.500 N
0.500 0.500 0.500 O
```

***

(2)
A plane-wave DFT calculation with PBE was carried out for an optimized crystal structure of Tb4Mg.

Results
The space group is Pm-3m. For the formation energy, the calculation gives 2.94 eV per formula unit.

POSCAR file:
```
Tb4Mg
1.0
5.614 0.000 0.000
0.000 5.614 0.000
0.000 0.000 5.614
Tb Mg
4 1
direct
0.000 0.000 0.000 Tb
0.000 0.500 0.500 Tb
0.500 0.000 0.500 Tb
0.500 0.500 0.000 Tb
0.500 0.500 0.500 Mg
```

***

(3)
A plane-wave DFT calculation with PBE was carried out for an optimized crystal structure of Na4Pu3PtS8.

Results
The space group is C2/m. Its formation energy from raw total energies is -1.254 eV per atom.

POSCAR file:
```
Na4Pu3PtS8
1.0
7.116 -3.848 0.000
7.116 3.848 0.000
-4.306 0.000 6.727
Na Pu Pt S
4 3 1 8
direct
0.000 0.000 0.000 Na
0.000 0.500 0.000 Na
0.500 0.000 0.000 Na
0.500 0.500 0.000 Na
0.000 0.000 0.500 Pu
0.000 0.500 0.500 Pu
0.500 0.000 0.500 Pu
0.500 0.500 0.500 Pt
0.220 0.220 0.241 S
0.235 0.235 0.727 S
0.264 0.705 0.700 S
0.295 0.736 0.300 S
0.705 0.264 0.700 S
0.736 0.295 0.300 S
0.765 0.765 0.273 S
0.780 0.780 0.759 S
```

***

(4)
A plane-wave DFT calculation with PBE was carried out for an optimized crystal structure of Li3Cd2Sn2Au4.

Results
The space group is P-3m1. For the formation energy, the calculation gives -3.85 eV per formula unit.

POSCAR file:
```
Li3Cd2Sn2Au4
1.0
4.683 0.000 0.000
-2.342 4.056 0.000
0.000 0.000 12.367
Li Cd Sn Au
3 2 2 4
direct
0.000 0.000 0.000 Li
0.000 0.000 0.262 Li
0.000 0.000 0.738 Li
0.333 0.667 0.582 Cd
0.667 0.333 0.418 Cd
0.333 0.667 0.129 Sn
0.667 0.333 0.871 Sn
0.333 0.667 0.352 Au
0.333 0.667 0.880 Au
0.667 0.333 0.120 Au
0.667 0.333 0.648 Au
```